# 1
# BeCd2Re | Alexandria | PBE | relaxed
data_BeCd2Re
_chemical_formula_sum 'Be1 Cd2 Re1'
_symmetry_space_group_name_H-M 'P 1 m 1'
_symmetry_Int_Tables_number 6
_symmetry_space_group_name_Hall 'P -2y'
_cell_length_a 2.9347
_cell_length_b 3.3629
_cell_length_c 6.9520
_cell_angle_alpha 90.00
_cell_angle_beta 102.17
_cell_angle_gamma 90.00
loop_
_atom_site_label
_atom_site_fract_x
_atom_site_fract_y
_atom_site_fract_z
_atom_site_occupancy
Be1 0.0000 0.0000 0.0000 1
Cd1 0.1518 0.5000 0.2993 1
Cd2 0.8116 0.0000 0.6197 1
Re1 0.4591 0.5000 0.9175 1
# VASP energy	-16.533	eV/cell



# 2
# BeCd2Re | Alexandria | PBE | relaxed
data_BeCd2Re
_chemical_formula_sum 'Be1 Cd2 Re1'
_symmetry_space_group_name_H-M 'P 1 2/m 1'
_symmetry_Int_Tables_number 10
_symmetry_space_group_name_Hall '-P 2y'
_cell_length_a 2.7858
_cell_length_b 4.4979
_cell_length_c 5.3305
_cell_angle_alpha 90.00
_cell_angle_beta 105.13
_cell_angle_gamma 90.00
loop_
_atom_site_label
_atom_site_fract_x
_atom_site_fract_y
_atom_site_fract_z
_atom_site_occupancy
Be1 0.0000 0.0000 0.0000 1
Cd1 0.1370 0.5000 0.7605 1
Re1 0.5000 0.0000 0.5000 1
# VASP energy	-15.456	eV/cell



# 3
# Be2CdRe | Alexandria | PBE | relaxed
data_Be2CdRe
_chemical_formula_sum 'Be4 Cd2 Re2'
_symmetry_space_group_name_H-M 'A m m 2'
_symmetry_Int_Tables_number 38
_symmetry_space_group_name_Hall 'A 2 -2'
_cell_length_a 3.9821
_cell_length_b 2.7092
_cell_length_c 9.5404
_cell_angle_alpha 90.00
_cell_angle_beta 90.00
_cell_angle_gamma 90.00
loop_
_atom_site_label
_atom_site_fract_x
_atom_site_fract_y
_atom_site_fract_z
_atom_site_occupancy
Be1 0.0000 0.0000 0.0000 1
Be2 0.5000 0.0000 0.1392 1
Cd1 0.0000 0.0000 0.7413 1
Re1 0.5000 0.0000 0.4220 1
# VASP energy	-39.172	eV/cell



# 4
# Be2CdRe | Alexandria | PBE | relaxed
data_Be2CdRe
_chemical_formula_sum 'Be4 Cd2 Re2'
_symmetry_space_group_name_H-M 'I m m m'
_symmetry_Int_Tables_number 71
_symmetry_space_group_name_Hall '-I 2 2'
_cell_length_a 2.7840
_cell_length_b 4.7379
_cell_length_c 8.4229
_cell_angle_alpha 90.00
_cell_angle_beta 90.00
_cell_angle_gamma 90.00
loop_
_atom_site_label
_atom_site_fract_x
_atom_site_fract_y
_atom_site_fract_z
_atom_site_occupancy
Be1 0.0000 0.0000 0.2348 1
Cd1 0.0000 0.5000 0.0000 1
Re1 0.0000 0.5000 0.5000 1
# VASP energy	-37.049	eV/cell



# 5
# Be2CdRe | Alexandria | PBE | relaxed
data_Be2CdRe
_chemical_formula_sum 'Be2 Cd1 Re1'
_symmetry_space_group_name_H-M 'P 4 m m'
_symmetry_Int_Tables_number 99
_symmetry_space_group_name_Hall 'P 4 -2'
_cell_length_a 2.8477
_cell_length_b 2.8477
_cell_length_c 6.3852
_cell_angle_alpha 90.00
_cell_angle_beta 90.00
_cell_angle_gamma 90.00
loop_
_atom_site_label
_atom_site_fract_x
_atom_site_fract_y
_atom_site_fract_z
_atom_site_occupancy
Be1 0.0000 0.0000 0.0000 1
Be2 0.5000 0.5000 0.1646 1
Cd1 0.0000 0.0000 0.4443 1
Re1 0.5000 0.5000 0.7899 1
# VASP energy	-19.356	eV/cell



# 6
# BeCd2Re | Alexandria | PBE | relaxed
data_BeCd2Re
_chemical_formula_sum 'Be3 Cd6 Re3'
_symmetry_space_group_name_H-M 'R -3 m'
_symmetry_Int_Tables_number 166
_symmetry_space_group_name_Hall '-R 3 2"'
_cell_length_a 2.8676
_cell_length_b 2.8676
_cell_length_c 27.2515
_cell_angle_alpha 90.00
_cell_angle_beta 90.00
_cell_angle_gamma 120.00
loop_
_atom_site_label
_atom_site_fract_x
_atom_site_fract_y
_atom_site_fract_z
_atom_site_occupancy
Be1 0.0000 0.0000 0.0000 1
Cd1 0.0000 0.0000 0.2565 1
Re1 0.0000 0.0000 0.5000 1
# VASP energy	-46.390	eV/cell



# 7
# Be2CdRe | Alexandria | PBE | relaxed
data_Be2CdRe
_chemical_formula_sum 'Be4 Cd2 Re2'
_symmetry_space_group_name_H-M 'C m m 2'
_symmetry_Int_Tables_number 35
_symmetry_space_group_name_Hall 'C 2 -2'
_cell_length_a 3.1499
_cell_length_b 4.3128
_cell_length_c 7.9940
_cell_angle_alpha 90.00
_cell_angle_beta 90.00
_cell_angle_gamma 90.00
loop_
_atom_site_label
_atom_site_fract_x
_atom_site_fract_y
_atom_site_fract_z
_atom_site_occupancy
Be1 0.0000 0.0000 0.0000 1
Be2 0.0000 0.5000 0.1889 1
Cd1 0.0000 0.0000 0.4631 1
Re1 0.0000 0.5000 0.7802 1
# VASP energy	-37.625	eV/cell



# 8
# Be2CdRe | Alexandria | PBE | relaxed
data_Be2CdRe
_chemical_formula_sum 'Be8 Cd4 Re4'
_symmetry_space_group_name_H-M 'F -4 3 m'
_symmetry_Int_Tables_number 216
_symmetry_space_group_name_Hall 'F -4 2 3'
_cell_length_a 6.0437
_cell_length_b 6.0437
_cell_length_c 6.0437
_cell_angle_alpha 90.00
_cell_angle_beta 90.00
_cell_angle_gamma 90.00
loop_
_atom_site_label
_atom_site_fract_x
_atom_site_fract_y
_atom_site_fract_z
_atom_site_occupancy
Be1 0.0000 0.0000 0.0000 1
Be2 0.2500 0.2500 0.2500 1
Cd1 0.0000 0.0000 0.5000 1
Re1 0.2500 0.2500 0.7500 1
# VASP energy	-69.791	eV/cell



# 9
# BeCd2Re | Alexandria | PBE | relaxed
data_BeCd2Re
_chemical_formula_sum 'Be1 Cd2 Re1'
_symmetry_space_group_name_H-M 'P 4/m m m'
_symmetry_Int_Tables_number 123
_symmetry_space_group_name_Hall '-P 4 2'
_cell_length_a 3.8314
_cell_length_b 3.8314
_cell_length_c 4.3466
_cell_angle_alpha 90.00
_cell_angle_beta 90.00
_cell_angle_gamma 90.00
loop_
_atom_site_label
_atom_site_fract_x
_atom_site_fract_y
_atom_site_fract_z
_atom_site_occupancy
Be1 0.0000 0.0000 0.0000 1
Cd1 0.0000 0.5000 0.5000 1
Re1 0.5000 0.5000 0.0000 1
# VASP energy	-15.473	eV/cell



# 10
# BeCd2Re | Alexandria | PBE | relaxed
data_BeCd2Re
_chemical_formula_sum 'Be1 Cd2 Re1'
_symmetry_space_group_name_H-M 'P 4/m m m'
_symmetry_Int_Tables_number 123
_symmetry_space_group_name_Hall '-P 4 2'
_cell_length_a 2.7801
_cell_length_b 2.7801
_cell_length_c 8.3466
_cell_angle_alpha 90.00
_cell_angle_beta 90.00
_cell_angle_gamma 90.00
loop_
_atom_site_label
_atom_site_fract_x
_atom_site_fract_y
_atom_site_fract_z
_atom_site_occupancy
Be1 0.0000 0.0000 0.0000 1
Cd1 0.5000 0.5000 0.2253 1
Re1 0.0000 0.0000 0.5000 1
# VASP energy	-15.199	eV/cell



# 11
# BeCd2Re | Alexandria | PBE | relaxed
data_BeCd2Re
_chemical_formula_sum 'Be2 Cd4 Re2'
_symmetry_space_group_name_H-M 'C m m 2'
_symmetry_Int_Tables_number 35
_symmetry_space_group_name_Hall 'C 2 -2'
_cell_length_a 3.1570
_cell_length_b 4.5566
_cell_length_c 9.2260
_cell_angle_alpha 90.00
_cell_angle_beta 90.00
_cell_angle_gamma 90.00
loop_
_atom_site_label
_atom_site_fract_x
_atom_site_fract_y
_atom_site_fract_z
_atom_site_occupancy
Be1 0.0000 0.0000 0.0000 1
Cd1 0.0000 0.0000 0.4533 1
Cd2 0.0000 0.5000 0.7654 1
Re1 0.0000 0.5000 0.1828 1
# VASP energy	-32.768	eV/cell



# 12
# Be2CdRe | Alexandria | PBE | relaxed
data_Be2CdRe
_chemical_formula_sum 'Be4 Cd2 Re2'
_symmetry_space_group_name_H-M 'I m m 2'
_symmetry_Int_Tables_number 44
_symmetry_space_group_name_Hall 'I 2 -2'
_cell_length_a 2.7314
_cell_length_b 4.2243
_cell_length_c 8.9762
_cell_angle_alpha 90.00
_cell_angle_beta 90.00
_cell_angle_gamma 90.00
loop_
_atom_site_label
_atom_site_fract_x
_atom_site_fract_y
_atom_site_fract_z
_atom_site_occupancy
Be1 0.0000 0.0000 0.0000 1
Be2 0.0000 0.5000 0.2759 1
Cd1 0.0000 0.5000 0.7578 1
Re1 0.0000 0.0000 0.5395 1
# VASP energy	-38.671	eV/cell



# 13
# Be3CdRe | Alexandria | PBE | relaxed
data_Be3CdRe
_chemical_formula_sum 'Be3 Cd1 Re1'
_symmetry_space_group_name_H-M 'P m -3 m'
_symmetry_Int_Tables_number 221
_symmetry_space_group_name_Hall '-P 4 2 3'
_cell_length_a 4.2064
_cell_length_b 4.2064
_cell_length_c 4.2064
_cell_angle_alpha 90.00
_cell_angle_beta 90.00
_cell_angle_gamma 90.00
loop_
_atom_site_label
_atom_site_fract_x
_atom_site_fract_y
_atom_site_fract_z
_atom_site_occupancy
Be1 0.0000 0.0000 0.5000 1
Cd1 0.0000 0.0000 0.0000 1
Re1 0.5000 0.5000 0.5000 1
# VASP energy	-16.126	eV/cell
# E above lowest polymorph	0.7235	eV/atom



# 14
# BeCd2Re | Alexandria | PBE | relaxed
data_BeCd2Re
_chemical_formula_sum 'Be4 Cd8 Re4'
_symmetry_space_group_name_H-M 'F -4 3 m'
_symmetry_Int_Tables_number 216
_symmetry_space_group_name_Hall 'F -4 2 3'
_cell_length_a 6.3813
_cell_length_b 6.3813
_cell_length_c 6.3813
_cell_angle_alpha 90.00
_cell_angle_beta 90.00
_cell_angle_gamma 90.00
loop_
_atom_site_label
_atom_site_fract_x
_atom_site_fract_y
_atom_site_fract_z
_atom_site_occupancy
Be1 0.0000 0.0000 0.0000 1
Cd1 0.0000 0.0000 0.5000 1
Cd2 0.2500 0.2500 0.2500 1
Re1 0.2500 0.2500 0.7500 1
# VASP energy	-59.106	eV/cell



# 15
# Be2CdRe | Alexandria | PBE | relaxed
data_Be2CdRe
_chemical_formula_sum 'Be6 Cd3 Re3'
_symmetry_space_group_name_H-M 'R -3 m'
_symmetry_Int_Tables_number 166
_symmetry_space_group_name_Hall '-R 3 2"'
_cell_length_a 2.7668
_cell_length_b 2.7668
_cell_length_c 25.2238
_cell_angle_alpha 90.00
_cell_angle_beta 90.00
_cell_angle_gamma 120.00
loop_
_atom_site_label
_atom_site_fract_x
_atom_site_fract_y
_atom_site_fract_z
_atom_site_occupancy
Be1 0.0000 0.0000 0.2412 1
Cd1 0.0000 0.0000 0.0000 1
Re1 0.0000 0.0000 0.5000 1
# VASP energy	-57.821	eV/cell